LiAlMo2F: relaxed, PBE+U.

Summary:
energy relative to the lowest polymorph listed for this composition	0.000	eV/atom
calculated volume	19.85	Å³ per atom

a b c (Å): 5.1662 5.1662 3.7181
angles (deg): 90.00 90.00 90.00
Closest atoms and distances in Å follow each position.
Space group P4/mmm (No. 123)
Symmetry-distinct sites (fractional):
Li1 0.0000 0.0000 0.0000 (multiplicity 1)  8 Mo 3.18
Al1 0.5000 0.5000 0.0000 (multiplicity 1)  2 F 1.86
Mo1 0.0000 0.5000 0.5000 (multiplicity 2)  2 F 2.58
F1 0.5000 0.5000 0.5000 (multiplicity 1)  2 Al 1.86